A relaxed structure of RbHfGaCl6. Source: Alexandria, functional GGA-PBE.

Summary:
Space-group type   P-31c, No. 163
Formation energy (no corrections)   -1.676 eV/atom
DFT total energy   -80.229 eV/cell
Fermi-level density of states   0.00 states/eV per cell

a = 7.347 Å, b = 7.347 Å, c = 13.489 Å
α = 90.00°, β = 90.00°, γ = 120.00°
Fractional positions:
Rb: 0.000 0.000 0.000
Rb: 0.000 0.000 0.500
Hf: 0.333 0.667 0.250
Hf: 0.667 0.333 0.750
Ga: 0.333 0.667 0.750
Ga: 0.667 0.333 0.250
Cl: 0.054 0.397 0.145
Cl: 0.054 0.657 0.355
Cl: 0.343 0.397 0.355
Cl: 0.343 0.946 0.145
Cl: 0.397 0.054 0.645
Cl: 0.397 0.343 0.855
Cl: 0.603 0.657 0.145
Cl: 0.603 0.946 0.355
Cl: 0.657 0.054 0.855
Cl: 0.657 0.603 0.645
Cl: 0.946 0.343 0.645
Cl: 0.946 0.603 0.855

=====

A relaxed structure of Rb2HfGaCl6. Source: Alexandria, functional GGA-PBE.

Summary:
Space-group type   R-3m, No. 166
Formation energy (no corrections)   -1.579 eV/atom
DFT total energy   -83.577 eV/cell
Fermi-level density of states   0.31 states/eV per cell

a = 12.640 Å, b = 12.640 Å, c = 12.640 Å
α = 37.39°, β = 37.39°, γ = 37.39°
Fractional positions:
Rb: 0.129 0.129 0.129
Rb: 0.276 0.276 0.276
Rb: 0.724 0.724 0.724
Rb: 0.871 0.871 0.871
Hf: 0.000 0.000 0.000
Hf: 0.500 0.500 0.500
Ga: 0.417 0.417 0.417
Ga: 0.583 0.583 0.583
Cl: 0.136 0.631 0.631
Cl: 0.183 0.183 0.758
Cl: 0.183 0.758 0.183
Cl: 0.242 0.817 0.817
Cl: 0.369 0.369 0.864
Cl: 0.369 0.864 0.369
Cl: 0.631 0.136 0.631
Cl: 0.631 0.631 0.136
Cl: 0.758 0.183 0.183
Cl: 0.817 0.242 0.817
Cl: 0.817 0.817 0.242
Cl: 0.864 0.369 0.369

=====

A relaxed structure of HfGa2ReCl. Source: Alexandria, functional GGA-PBE.

Summary:
Space-group type   P4/mmm, No. 123
Formation energy (no corrections)   0.180 eV/atom
DFT total energy   -29.403 eV/cell
Fermi-level density of states   3.40 states/eV per cell

a = 4.895 Å, b = 4.895 Å, c = 5.013 Å
α = 90.00°, β = 90.00°, γ = 90.00°
Fractional positions:
Hf: 0.000 0.000 0.000
Ga: 0.000 0.500 0.500
Ga: 0.500 0.000 0.500
Re: 0.000 0.000 0.500
Cl: 0.500 0.500 0.000

=====

A relaxed structure of HfGaSCl2. Source: Alexandria, functional GGA-PBE.

Summary:
Energy above the most stable polymorph in this dataset   1057 meV per atom
Space-group type   P4/mmm, No. 123
Formation energy (no corrections)   0.094 eV/atom
DFT total energy   -20.333 eV/cell
Fermi-level density of states   5.65 states/eV per cell

a = 4.757 Å, b = 4.757 Å, c = 4.874 Å
α = 90.00°, β = 90.00°, γ = 90.00°
Fractional positions:
Hf: 0.000 0.000 0.000
Ga: 0.500 0.500 0.500
S: 0.500 0.500 0.000
Cl: 0.000 0.500 0.500
Cl: 0.500 0.000 0.500

=====

A relaxed structure of HfGaSCl2. Source: Alexandria, functional GGA-PBE.

Summary:
Energy above the most stable polymorph in this dataset   0 meV per atom
Space-group type   P4/mmm, No. 123
Formation energy (no corrections)   -0.963 eV/atom
DFT total energy   -25.617 eV/cell
Fermi-level density of states   2.18 states/eV per cell

a = 5.011 Å, b = 5.011 Å, c = 4.960 Å
α = 90.00°, β = 90.00°, γ = 90.00°
Fractional positions:
Hf: 0.000 0.000 0.000
Ga: 0.500 0.500 0.500
S: 0.000 0.000 0.500
Cl: 0.000 0.500 0.000
Cl: 0.500 0.000 0.000

=====

A relaxed structure of HfGaSe2Cl. Source: Alexandria, functional GGA-PBE.

Summary:
Space-group type   P4/mmm, No. 123
Formation energy (no corrections)   -0.354 eV/atom
DFT total energy   -23.564 eV/cell
Fermi-level density of states   4.16 states/eV per cell

a = 5.030 Å, b = 5.030 Å, c = 5.863 Å
α = 90.00°, β = 90.00°, γ = 90.00°
Fractional positions:
Hf: 0.000 0.000 0.000
Ga: 0.000 0.000 0.500
Se: 0.000 0.500 0.000
Se: 0.500 0.000 0.000
Cl: 0.500 0.500 0.500